1.
# In2FeRu

A geometry-optimized In2FeRu structure (GGA-PBE, the Alexandria database).

Calculated values
ΔH_f (0 K) (eV/f.u.): 0.60
Energy relative to the lowest polymorph listed for this composition (meV/atom): 48.8

Cell lengths 9.8187, 4.2255, 6.9933 Å; angles 90.00, 104.20, 90.00 degrees
With the nearest neighbours (Å) after each atom.
Space group C2/m (No. 12)
Inequivalent atoms, fractional coordinates:
In 0.0000 0.0000 0.0000 (multiplicity 2)  4 Ru 2.73
In 0.0000 0.0000 0.5000 (multiplicity 2)  4 Ru 2.83, 6 Fe 2.86-3.03, 2 In 3.06
In 0.2332 0.5000 0.1651 (multiplicity 4)  3 Fe 2.74-2.89, 4 Ru 2.87-2.97, 1 In 3.06
Fe 0.2010 0.5000 0.5438 (multiplicity 4)  2 Fe 2.46, 1 Ru 2.49, 1 In 2.74
Ru 0.0476 0.5000 0.7786 (multiplicity 4)  1 Fe 2.49, 2 In 2.73

2.
# In2FeRu

A geometry-optimized In2FeRu structure (GGA-PBE, the Alexandria database).

Calculated values
ΔH_f (0 K) (eV/f.u.): 0.83
Energy relative to the lowest polymorph listed for this composition (meV/atom): 106.4

Cell lengths 4.2260, 3.2534, 10.3444 Å; angles 90.00, 90.00, 90.00 degrees
With the nearest neighbours (Å) after each atom.
Space group Amm2 (No. 38)
Inequivalent atoms, fractional coordinates:
In 0.0000 0.0000 0.0000 (multiplicity 2)  3 Fe 2.82-2.87, 4 Ru 2.85
In 0.5000 0.0000 0.3208 (multiplicity 2)  3 Ru 2.82-2.87, 4 Fe 2.85
Fe 0.0000 0.0000 0.7224 (multiplicity 2)  2 Ru 2.47
Ru 0.5000 0.0000 0.5978 (multiplicity 2)  2 Fe 2.47

3.
# InFeRu2

A geometry-optimized InFeRu2 structure (GGA-PBE, the Alexandria database).

Calculated values
ΔH_f (0 K) (eV/f.u.): 0.95

Cell lengths 9.1679, 2.8887, 4.6868 Å; angles 90.00, 101.90, 90.00 degrees
With the nearest neighbours (Å) after each atom.
Space group Cm (No. 8)
Inequivalent atoms, fractional coordinates:
In 0.0000 0.0000 0.0000 (multiplicity 2)  7 Ru 2.75-2.88, 3 Fe 2.75-2.83, 2 In 2.89
Fe 0.2580 0.5000 0.2636 (multiplicity 2)  5 Ru 2.55-2.81, 3 In 2.75-2.83
Ru 0.9997 0.5000 0.4983 (multiplicity 2)  5 Ru 2.65-2.89, 3 Fe 2.68-2.81, 4 In 2.75-2.76
Ru 0.2413 0.0000 0.7040 (multiplicity 2)  2 Fe 2.55, 3 Ru 2.65-2.74, 1 In 2.84

4.
# In2FeRu

A geometry-optimized In2FeRu structure (GGA-PBE, the Alexandria database).

Calculated values
ΔH_f (0 K) (eV/f.u.): 0.67
Energy relative to the lowest polymorph listed for this composition (meV/atom): 66.6

Cell lengths 10.3413, 3.2678, 8.6345 Å; angles 90.00, 103.89, 90.00 degrees
With the nearest neighbours (Å) after each atom.
Space group Cm (No. 8)
Inequivalent atoms, fractional coordinates:
In 0.0000 0.0000 0.0000 (multiplicity 2)  2 Fe 2.77, 2 Ru 2.84, 3 In 2.96-3.01
In 0.0214 0.5000 0.6492 (multiplicity 2)  2 Fe 2.78, 3 Ru 2.80-2.89
In 0.1608 0.0000 0.3967 (multiplicity 2)  5 Fe 2.82-2.89, 4 Ru 2.90-2.92
In 0.2498 0.0000 0.8900 (multiplicity 2)  4 Ru 2.73-2.80, 3 In 2.96-3.01
Fe 0.3842 0.5000 0.4042 (multiplicity 2)  2 Fe 2.37, 2 Ru 2.47-2.54
Fe 0.4392 0.0000 0.2324 (multiplicity 2)  2 Fe 2.37
Ru 0.2217 0.5000 0.1431 (multiplicity 2)  3 Fe 2.47-2.74
Ru 0.3034 0.5000 0.6602 (multiplicity 2)  1 Fe 2.54, 4 In 2.73-2.80

5.
# In2FeRu

A geometry-optimized In2FeRu structure (GGA-PBE, the Alexandria database).

Calculated values
ΔH_f (0 K) (eV/f.u.): 1.32
Energy relative to the lowest polymorph listed for this composition (meV/atom): 229.2

Cell lengths 9.0308, 3.2067, 4.9803 Å; angles 90.00, 103.99, 90.00 degrees
With the nearest neighbours (Å) after each atom.
Space group C2/m (No. 12)
Inequivalent atoms, fractional coordinates:
In 0.2486 0.0000 0.2482 (multiplicity 4)  3 Ru 2.79-2.84, 3 Fe 2.81-2.82, 4 In 2.95-2.97
Fe 0.0000 0.0000 0.5000 (multiplicity 2)  6 In 2.81-2.82, 4 Ru 2.96
Ru 0.0000 0.5000 0.0000 (multiplicity 2)  6 In 2.79-2.84, 4 Fe 2.96

6.
# In2FeRu

A geometry-optimized In2FeRu structure (GGA-PBE, the Alexandria database).

Calculated values
ΔH_f (0 K) (eV/f.u.): 2.40
Energy relative to the lowest polymorph listed for this composition (meV/atom): 498.9

Cell lengths 7.2620, 7.2620, 5.6934 Å; angles 90.00, 90.00, 90.00 degrees
With the nearest neighbours (Å) after each atom.
Space group I-42d (No. 122)
Inequivalent atoms, fractional coordinates:
In 0.2449 0.2500 0.1250 (multiplicity 8)  2 Fe 2.64, 2 Ru 2.69, 2 In 2.85
Fe 0.0000 0.0000 0.0000 (multiplicity 4)  4 In 2.64, 2 Ru 2.85
Ru 0.0000 0.0000 0.5000 (multiplicity 4)  4 In 2.69, 2 Fe 2.85

7.
# InFeRu2

A geometry-optimized InFeRu2 structure (GGA-PBE, the Alexandria database).

Calculated values
ΔH_f (0 K) (eV/f.u.): 1.25

Cell lengths 2.8667, 2.8667, 25.7623 Å; angles 90.00, 90.00, 120.00 degrees
With the nearest neighbours (Å) after each atom.
Space group R-3m (No. 166, hexagonal axes)
Inequivalent atoms, fractional coordinates:
In 0.0000 0.0000 0.0000 (multiplicity 3)  6 Ru 2.86, 6 In 2.87
Fe 0.0000 0.0000 0.5000 (multiplicity 3)  6 Ru 2.57, 6 Fe 2.87
Ru 0.0000 0.0000 0.2428 (multiplicity 6)  3 Fe 2.57, 3 In 2.86, 6 Ru 2.87

8.
# In2FeRu

A geometry-optimized In2FeRu structure (GGA-PBE, the Alexandria database).

Calculated values
ΔH_f (0 K) (eV/f.u.): 0.79
Energy relative to the lowest polymorph listed for this composition (meV/atom): 97.2

Cell lengths 4.5559, 4.5559, 3.2083 Å; angles 90.00, 90.00, 90.00 degrees
With the nearest neighbours (Å) after each atom.
Space group P4/mmm (No. 123)
Inequivalent atoms, fractional coordinates:
In 0.0000 0.5000 0.0000 (multiplicity 2)  4 Fe 2.79, 4 Ru 2.79
Fe 0.0000 0.0000 0.5000 (multiplicity 1)  8 In 2.79
Ru 0.5000 0.5000 0.5000 (multiplicity 1)  8 In 2.79

9.
# In2FeRu

A geometry-optimized In2FeRu structure (GGA-PBE, the Alexandria database).

Calculated values
ΔH_f (0 K) (eV/f.u.): 0.92
Energy relative to the lowest polymorph listed for this composition (meV/atom): 128.5

Cell lengths 6.4318, 6.4318, 6.4318 Å; angles 90.00, 90.00, 90.00 degrees
With the nearest neighbours (Å) after each atom.
Space group Fm-3m (No. 225)
Inequivalent atoms, fractional coordinates:
In 0.2500 0.2500 0.2500 (multiplicity 8)  4 Fe 2.79, 4 Ru 2.79
Fe 0.0000 0.0000 0.0000 (multiplicity 4)  8 In 2.79
Ru 0.0000 0.0000 0.5000 (multiplicity 4)  8 In 2.79

10.
# InFeRu2

A geometry-optimized InFeRu2 structure (GGA-PBE, the Alexandria database).

Calculated values
ΔH_f (0 K) (eV/f.u.): 0.88

Cell lengths 2.8338, 3.8261, 5.5963 Å; angles 90.00, 90.00, 90.00 degrees
With the nearest neighbours (Å) after each atom.
Space group Pmm2 (No. 25)
Inequivalent atoms, fractional coordinates:
In 0.0000 0.0000 0.0000 (multiplicity 1)  6 Ru 2.77-2.86, 4 Fe 2.83, 2 In 2.83
Fe 0.5000 0.5000 0.2746 (multiplicity 1)  5 Ru 2.47-2.68
Ru 0.0000 0.0000 0.4948 (multiplicity 1)  4 Fe 2.68, 6 Ru 2.68-2.83, 2 In 2.77-2.83
Ru 0.5000 0.5000 0.7165 (multiplicity 1)  1 Fe 2.47, 4 Ru 2.68

11.
# InFeRu2

A geometry-optimized InFeRu2 structure (GGA-PBE, the Alexandria database).

Calculated values
ΔH_f (0 K) (eV/f.u.): 0.85

Cell lengths 4.3599, 4.3599, 3.1792 Å; angles 90.00, 90.00, 90.00 degrees
With the nearest neighbours (Å) after each atom.
Space group P4/mmm (No. 123)
Inequivalent atoms, fractional coordinates:
In 0.0000 0.0000 0.0000 (multiplicity 1)  8 Ru 2.70
Fe 0.5000 0.5000 0.0000 (multiplicity 1)  8 Ru 2.70
Ru 0.0000 0.5000 0.5000 (multiplicity 2)  4 In 2.70, 4 Fe 2.70

12.
# InFeRu2

A geometry-optimized InFeRu2 structure (GGA-PBE, the Alexandria database).

Calculated values
ΔH_f (0 K) (eV/f.u.): 1.37

Cell lengths 6.2468, 6.2468, 6.2468 Å; angles 90.00, 90.00, 90.00 degrees
With the nearest neighbours (Å) after each atom.
Space group F-43m (No. 216)
Inequivalent atoms, fractional coordinates:
In 0.0000 0.0000 0.0000 (multiplicity 4)  4 Fe 2.70, 4 Ru 2.70
Fe 0.2500 0.2500 0.2500 (multiplicity 4)  4 Ru 2.70, 4 In 2.70
Ru 0.0000 0.0000 0.5000 (multiplicity 4)  4 Ru 2.70, 4 Fe 2.70
Ru 0.2500 0.2500 0.7500 (multiplicity 4)  4 In 2.70, 4 Ru 2.70

Uncorrected energy values (in eV per atom) by entry order: -5.654, -5.596, -7.202, -5.636, -5.474, -5.204, -7.124, -5.606, -5.574, -7.218, -7.225, -7.095.